VASP calculation (PBE) on an optimized crystal structure of Pr3Cu8Au.

a = 9.214 Å, b = 9.214 Å, c = 9.214 Å
α = 33.14°, β = 33.14°, γ = 33.14°
Element x y z (fractional)
Pr (0.000, 0.000, 0.000)
Pr (0.128, 0.128, 0.128)
Pr (0.612, 0.612, 0.612)
Cu (0.052, 0.052, 0.566)
Cu (0.052, 0.566, 0.052)
Cu (0.062, 0.559, 0.559)
Cu (0.307, 0.307, 0.307)
Cu (0.559, 0.062, 0.559)
Cu (0.559, 0.559, 0.062)
Cu (0.566, 0.052, 0.052)
Cu (0.809, 0.809, 0.809)
Au (0.492, 0.492, 0.492)

- space group = R3m
- E_form (eV per atom) = -0.151

VASP calculation (PBE) on an optimized crystal structure of LiPuBi2Pd4.

a = 8.597 Å, b = 8.597 Å, c = 8.597 Å
α = 31.96°, β = 31.96°, γ = 31.96°
Element x y z (fractional)
Li (0.000, 0.000, 0.000)
Pu (0.500, 0.500, 0.500)
Bi (0.256, 0.256, 0.256)
Bi (0.744, 0.744, 0.744)
Pd (0.113, 0.113, 0.113)
Pd (0.371, 0.371, 0.371)
Pd (0.629, 0.629, 0.629)
Pd (0.887, 0.887, 0.887)

- space group = R-3m
- E_form (eV per atom) = -0.410

VASP calculation (PBE) on an optimized crystal structure of Th2PPd2Pt4.

a = 6.185 Å, b = 6.185 Å, c = 6.185 Å
α = 118.16°, β = 118.16°, γ = 93.22°
Element x y z (fractional)
Th (0.250, 0.750, 0.500)
Th (0.750, 0.250, 0.500)
P (0.000, 0.000, 0.000)
Pd (0.276, 0.276, 0.000)
Pd (0.724, 0.724, 0.000)
Pt (0.265, 0.265, 0.529)
Pt (0.265, 0.735, 0.000)
Pt (0.735, 0.265, 0.000)
Pt (0.735, 0.735, 0.471)

- space group = I4/mmm
- E_form (eV per atom) = -0.896

VASP calculation (PBE) on an optimized crystal structure of VCd2Si.

a = 6.761 Å, b = 6.761 Å, c = 6.761 Å
α = 90.00°, β = 90.00°, γ = 90.00°
Element x y z (fractional)
V (0.000, 0.000, 0.000)
V (0.000, 0.500, 0.500)
V (0.500, 0.000, 0.500)
V (0.500, 0.500, 0.000)
Cd (0.250, 0.250, 0.250)
Cd (0.250, 0.250, 0.750)
Cd (0.250, 0.750, 0.250)
Cd (0.250, 0.750, 0.750)
Cd (0.750, 0.250, 0.250)
Cd (0.750, 0.250, 0.750)
Cd (0.750, 0.750, 0.250)
Cd (0.750, 0.750, 0.750)
Si (0.000, 0.000, 0.500)
Si (0.000, 0.500, 0.000)
Si (0.500, 0.000, 0.000)
Si (0.500, 0.500, 0.500)

- raw formation energy (meV/atom) = 586
- space group = Fm-3m
- excess energy over the best structure of this formula in the dataset (eV/f.u.) = 0.20

VASP calculation (PBE) on an optimized crystal structure of LaAs2.

a = 5.766 Å, b = 5.766 Å, c = 9.748 Å
α = 90.00°, β = 90.00°, γ = 120.00°
Element x y z (fractional)
La (0.333, 0.667, 0.067)
La (0.333, 0.667, 0.433)
La (0.667, 0.333, 0.567)
La (0.667, 0.333, 0.933)
As (0.000, 0.000, 0.000)
As (0.000, 0.000, 0.500)
As (0.176, 0.352, 0.750)
As (0.176, 0.824, 0.750)
As (0.352, 0.176, 0.250)
As (0.648, 0.824, 0.750)
As (0.824, 0.176, 0.250)
As (0.824, 0.648, 0.250)

- space group = P6_3/mmc
- E_form (eV per atom) = -0.547

VASP calculation (PBE) on an optimized crystal structure of MgFe2Ru.

a = 2.681 Å, b = 2.681 Å, c = 26.320 Å
α = 90.00°, β = 90.00°, γ = 120.00°
Element x y z (fractional)
Mg (0.000, 0.000, 0.000)
Mg (0.333, 0.667, 0.667)
Mg (0.667, 0.333, 0.333)
Fe (0.000, 0.000, 0.246)
Fe (0.000, 0.000, 0.754)
Fe (0.333, 0.667, 0.420)
Fe (0.333, 0.667, 0.913)
Fe (0.667, 0.333, 0.087)
Fe (0.667, 0.333, 0.580)
Ru (0.000, 0.000, 0.500)
Ru (0.333, 0.667, 0.167)
Ru (0.667, 0.333, 0.833)

- space group = R-3m
- E_form (eV per atom) = 0.283

VASP calculation (PBE) on an optimized crystal structure of VCl.

a = 8.819 Å, b = 8.819 Å, c = 3.097 Å
α = 90.00°, β = 90.00°, γ = 120.00°
Element x y z (fractional)
V (0.141, 0.629, 0.250)
V (0.371, 0.512, 0.250)
V (0.488, 0.859, 0.250)
V (0.512, 0.141, 0.750)
V (0.629, 0.488, 0.750)
V (0.859, 0.371, 0.750)
Cl (0.039, 0.332, 0.250)
Cl (0.293, 0.961, 0.250)
Cl (0.332, 0.293, 0.750)
Cl (0.668, 0.707, 0.250)
Cl (0.707, 0.039, 0.750)
Cl (0.961, 0.668, 0.750)

- raw formation energy (meV/atom) = -338
- space group = P6_3/m

VASP calculation (PBE) on an optimized crystal structure of Cs2PuBrCl6.

a = 7.437 Å, b = 7.437 Å, c = 9.386 Å
α = 90.00°, β = 90.00°, γ = 120.00°
Element x y z (fractional)
Cs (0.333, 0.667, 0.303)
Cs (0.667, 0.333, 0.697)
Pu (0.000, 0.000, 0.500)
Br (0.000, 0.000, 0.000)
Cl (0.165, 0.330, 0.654)
Cl (0.165, 0.835, 0.654)
Cl (0.330, 0.165, 0.346)
Cl (0.670, 0.835, 0.654)
Cl (0.835, 0.165, 0.346)
Cl (0.835, 0.670, 0.346)

- raw formation energy (meV/atom) = -1593
- space group = P-3m1

VASP calculation (PBE) on an optimized crystal structure of AlCu2P.

a = 3.356 Å, b = 3.356 Å, c = 4.826 Å
α = 90.00°, β = 90.00°, γ = 90.00°
Element x y z (fractional)
Al (0.000, 0.000, 0.000)
Cu (0.000, 0.000, 0.503)
Cu (0.500, 0.500, 0.260)
P (0.500, 0.500, 0.757)

- space group = P4mm
- excess energy over the best structure of this formula in the dataset (eV/f.u.) = 0.00
- E_form (eV per atom) = -0.029

VASP calculation (PBE) on an optimized crystal structure of ScTlS.

a = 3.593 Å, b = 3.593 Å, c = 11.105 Å
α = 90.22°, β = 90.01°, γ = 90.00°
Element x y z (fractional)
Sc (0.000, 0.000, 0.000)
Sc (0.500, 0.497, 0.784)
Tl (0.013, 0.983, 0.288)
Tl (0.513, 0.490, 0.497)
S (0.000, 0.997, 0.765)
S (0.500, 0.500, 0.019)

- raw formation energy (meV/atom) = -1146
- space group = P1
- excess energy over the best structure of this formula in the dataset (eV/f.u.) = 0.00

VASP calculation (PBE) on an optimized crystal structure of Tl2Ga.

a = 5.137 Å, b = 5.093 Å, c = 6.639 Å
α = 90.00°, β = 111.31°, γ = 90.00°
Element x y z (fractional)
Tl (0.155, 0.000, 0.310)
Tl (0.345, 0.500, 0.690)
Tl (0.655, 0.500, 0.310)
Tl (0.845, 0.000, 0.690)
Ga (0.000, 0.500, 0.000)
Ga (0.500, 0.000, 0.000)

- space group = C2/m
- excess energy over the best structure of this formula in the dataset (eV/f.u.) = 0.00
- E_form (eV per atom) = 0.075

VASP calculation (PBE) on an optimized crystal structure of AcNpSe2N.

a = 4.077 Å, b = 4.077 Å, c = 15.511 Å
α = 90.00°, β = 90.00°, γ = 90.00°
Element x y z (fractional)
Ac (0.250, 0.250, 0.140)
Ac (0.750, 0.750, 0.860)
Np (0.250, 0.250, 0.567)
Np (0.750, 0.750, 0.433)
Se (0.250, 0.250, 0.331)
Se (0.250, 0.250, 0.918)
Se (0.750, 0.750, 0.082)
Se (0.750, 0.750, 0.669)
N (0.250, 0.750, 0.500)
N (0.750, 0.250, 0.500)

- raw formation energy (meV/atom) = -1460
- space group = P4/nmm

VASP calculation (PBE) on an optimized crystal structure of OsRu3W.

a = 5.329 Å, b = 5.329 Å, c = 11.779 Å
α = 90.00°, β = 90.00°, γ = 120.00°
Element x y z (fractional)
Os (0.000, 0.000, 0.000)
Os (0.333, 0.667, 0.667)
Os (0.667, 0.333, 0.333)
Ru (0.000, 0.500, 0.500)
Ru (0.167, 0.333, 0.833)
Ru (0.167, 0.833, 0.833)
Ru (0.333, 0.167, 0.167)
Ru (0.500, 0.000, 0.500)
Ru (0.500, 0.500, 0.500)
Ru (0.667, 0.833, 0.833)
Ru (0.833, 0.167, 0.167)
Ru (0.833, 0.667, 0.167)
W (0.000, 0.000, 0.500)
W (0.333, 0.667, 0.167)
W (0.667, 0.333, 0.833)

- space group = R-3m
- excess energy over the best structure of this formula in the dataset (eV/f.u.) = 5.98
- E_form (eV per atom) = 1.517

VASP calculation (PBE) on an optimized crystal structure of EuAlPd.

a = 3.348 Å, b = 3.348 Å, c = 11.374 Å
α = 90.00°, β = 90.00°, γ = 90.00°
Element x y z (fractional)
Eu (0.000, 0.000, 0.000)
Eu (0.500, 0.500, 0.500)
Al (0.000, 0.000, 0.291)
Al (0.500, 0.500, 0.791)
Pd (0.000, 0.000, 0.696)
Pd (0.500, 0.500, 0.196)

- space group = I4mm
- E_form (eV per atom) = -0.591

VASP calculation (PBE) on an optimized crystal structure of Ti2GaP2.

a = 3.361 Å, b = 3.361 Å, c = 13.688 Å
α = 90.00°, β = 90.00°, γ = 90.00°
Element x y z (fractional)
Ti (0.000, 0.000, 0.115)
Ti (0.000, 0.000, 0.885)
Ti (0.500, 0.500, 0.385)
Ti (0.500, 0.500, 0.615)
Ga (0.000, 0.000, 0.500)
Ga (0.500, 0.500, 0.000)
P (0.000, 0.500, 0.250)
P (0.000, 0.500, 0.750)
P (0.500, 0.000, 0.250)
P (0.500, 0.000, 0.750)

- space group = I4/mmm
- excess energy over the best structure of this formula in the dataset (eV/f.u.) = 0.44
- E_form (eV per atom) = -0.588

VASP calculation (PBE) on an optimized crystal structure of BaMn2Ir.

a = 4.519 Å, b = 4.519 Å, c = 8.229 Å
α = 90.00°, β = 90.00°, γ = 90.00°
Element x y z (fractional)
Ba (0.000, 0.000, 0.000)
Ba (0.500, 0.500, 0.500)
Mn (0.000, 0.000, 0.500)
Mn (0.000, 0.500, 0.250)
Mn (0.500, 0.000, 0.750)
Mn (0.500, 0.500, 0.000)
Ir (0.000, 0.500, 0.750)
Ir (0.500, 0.000, 0.250)

- space group = I-4m2
- E_form (eV per atom) = 0.802

VASP calculation (PBE) on an optimized crystal structure of Pr5Cu3.

a = 3.633 Å, b = 3.633 Å, c = 16.339 Å
α = 90.00°, β = 90.00°, γ = 90.00°
Element x y z (fractional)
Pr (0.000, 0.000, 0.000)
Pr (0.000, 0.000, 0.219)
Pr (0.000, 0.000, 0.781)
Pr (0.500, 0.500, 0.391)
Pr (0.500, 0.500, 0.609)
Cu (0.000, 0.000, 0.500)
Cu (0.500, 0.500, 0.110)
Cu (0.500, 0.500, 0.890)

- space group = P4/mmm
- E_form (eV per atom) = -0.079

VASP calculation (PBE) on an optimized crystal structure of Ba6TeSe3S2.

a = 10.565 Å, b = 10.565 Å, c = 9.471 Å
α = 102.89°, β = 102.89°, γ = 25.81°
Element x y z (fractional)
Ba (0.003, 0.003, 0.263)
Ba (0.329, 0.329, 0.908)
Ba (0.330, 0.330, 0.422)
Ba (0.670, 0.670, 0.578)
Ba (0.671, 0.671, 0.092)
Ba (0.997, 0.997, 0.737)
Te (0.500, 0.500, 0.000)
Se (0.165, 0.165, 0.831)
Se (0.500, 0.500, 0.500)
Se (0.835, 0.835, 0.169)
S (0.169, 0.169, 0.337)
S (0.831, 0.831, 0.663)

- raw formation energy (meV/atom) = -1995
- space group = C2/m

VASP calculation (PBE) on an optimized crystal structure of DyUTe2O.

a = 4.158 Å, b = 4.158 Å, c = 14.566 Å
α = 90.00°, β = 90.00°, γ = 90.00°
Element x y z (fractional)
Dy (0.250, 0.250, 0.092)
Dy (0.750, 0.750, 0.908)
U (0.250, 0.250, 0.576)
U (0.750, 0.750, 0.424)
Te (0.250, 0.250, 0.311)
Te (0.250, 0.250, 0.877)
Te (0.750, 0.750, 0.123)
Te (0.750, 0.750, 0.689)
O (0.250, 0.750, 0.500)
O (0.750, 0.250, 0.500)

- raw formation energy (meV/atom) = -1761
- space group = P4/nmm

VASP calculation (PBE) on an optimized crystal structure of NbTc.

a = 7.856 Å, b = 7.856 Å, c = 4.487 Å
α = 90.00°, β = 90.00°, γ = 90.00°
Element x y z (fractional)
Nb (0.030, 0.308, 0.000)
Nb (0.192, 0.470, 0.500)
Nb (0.308, 0.970, 0.000)
Nb (0.470, 0.808, 0.500)
Nb (0.530, 0.192, 0.500)
Nb (0.692, 0.030, 0.000)
Nb (0.808, 0.530, 0.500)
Nb (0.970, 0.692, 0.000)
Tc (0.117, 0.805, 0.500)
Tc (0.195, 0.117, 0.500)
Tc (0.305, 0.617, 0.000)
Tc (0.383, 0.305, 0.000)
Tc (0.617, 0.695, 0.000)
Tc (0.695, 0.383, 0.000)
Tc (0.805, 0.883, 0.500)
Tc (0.883, 0.195, 0.500)

- space group = P4/mnc
- E_form (eV per atom) = 0.045

VASP calculation (PBE) on an optimized crystal structure of Na3SrHg.

a = 5.860 Å, b = 5.860 Å, c = 5.860 Å
α = 90.00°, β = 90.00°, γ = 90.00°
Element x y z (fractional)
Na (0.000, 0.000, 0.500)
Na (0.000, 0.500, 0.000)
Na (0.500, 0.000, 0.000)
Sr (0.500, 0.500, 0.500)
Hg (0.000, 0.000, 0.000)

- space group = Pm-3m
- excess energy over the best structure of this formula in the dataset (eV/f.u.) = 0.80
- E_form (eV per atom) = -0.003

VASP calculation (PBE) on an optimized crystal structure of CdWI2.

a = 7.186 Å, b = 7.186 Å, c = 7.186 Å
α = 90.00°, β = 90.00°, γ = 90.00°
Element x y z (fractional)
Cd (0.000, 0.000, 0.000)
Cd (0.000, 0.500, 0.500)
Cd (0.500, 0.000, 0.500)
Cd (0.500, 0.500, 0.000)
W (0.000, 0.000, 0.500)
W (0.000, 0.500, 0.000)
W (0.500, 0.000, 0.000)
W (0.500, 0.500, 0.500)
I (0.250, 0.250, 0.250)
I (0.250, 0.250, 0.750)
I (0.250, 0.750, 0.250)
I (0.250, 0.750, 0.750)
I (0.750, 0.250, 0.250)
I (0.750, 0.250, 0.750)
I (0.750, 0.750, 0.250)
I (0.750, 0.750, 0.750)

- raw formation energy (meV/atom) = 1171
- space group = Fm-3m
- excess energy over the best structure of this formula in the dataset (eV/f.u.) = 2.04

VASP calculation (PBE) on an optimized crystal structure of Ti2Zn3Cd2.

a = 9.661 Å, b = 4.140 Å, c = 6.079 Å
α = 90.00°, β = 92.27°, γ = 90.00°
Element x y z (fractional)
Ti (0.152, 0.000, 0.423)
Ti (0.348, 0.500, 0.577)
Ti (0.652, 0.500, 0.423)
Ti (0.848, 0.000, 0.577)
Zn (0.000, 0.000, 0.000)
Zn (0.231, 0.500, 0.142)
Zn (0.269, 0.000, 0.858)
Zn (0.500, 0.500, 0.000)
Zn (0.731, 0.000, 0.142)
Zn (0.769, 0.500, 0.858)
Cd (0.064, 0.500, 0.728)
Cd (0.436, 0.000, 0.272)
Cd (0.564, 0.000, 0.728)
Cd (0.936, 0.500, 0.272)

- space group = C2/m
- E_form (eV per atom) = 0.011

VASP calculation (PBE) on an optimized crystal structure of Ba2Tl3ZnCd4.

a = 4.939 Å, b = 4.939 Å, c = 12.362 Å
α = 90.00°, β = 90.00°, γ = 90.00°
Element x y z (fractional)
Ba (0.000, 0.500, 0.246)
Ba (0.500, 0.000, 0.754)
Tl (0.000, 0.000, 0.000)
Tl (0.000, 0.500, 0.639)
Tl (0.500, 0.000, 0.361)
Zn (0.500, 0.500, 0.000)
Cd (0.000, 0.000, 0.500)
Cd (0.000, 0.500, 0.876)
Cd (0.500, 0.000, 0.124)
Cd (0.500, 0.500, 0.500)

- space group = P-4m2
- E_form (eV per atom) = -0.222

VASP calculation (PBE) on an optimized crystal structure of KPI2N.

a = 6.444 Å, b = 6.444 Å, c = 3.419 Å
α = 90.00°, β = 90.00°, γ = 90.00°
Element x y z (fractional)
K (0.000, 0.000, 0.000)
P (0.500, 0.500, 0.500)
I (0.000, 0.500, 0.500)
I (0.500, 0.000, 0.500)
N (0.500, 0.500, 0.000)

- raw formation energy (meV/atom) = -58
- space group = P4/mmm
- excess energy over the best structure of this formula in the dataset (eV/f.u.) = 0.00

Magnetic moment (computed, μB per formula unit): 0.0 5.4 0.0 3.3 0.0 4.2 0.0 3.0 0.0 0.0 0.0 2.8 0.2 7.1 0.0 8.5 0.0 0.0 2.4 0.0 0.0 0.0 1.6 0.0 0.0